Record 1
Computed, not measured: a relaxed structure of PmPr2P3Pt12 at the PBE level of DFT.

Structure (POSCAR):
```
PmPr2P3Pt12
1.0
4.160 2.402 6.153
-4.160 2.402 6.153
0.000 -4.803 6.153
Pm Pr P Pt
1 2 3 12
Direct
0.000 0.000 0.000
0.401 0.401 0.401
0.599 0.599 0.599
0.000 0.000 0.500
0.000 0.500 0.000
0.500 0.000 0.000
0.102 0.662 0.662
0.143 0.143 0.591
0.143 0.591 0.143
0.338 0.338 0.898
0.338 0.898 0.338
0.409 0.857 0.857
0.591 0.143 0.143
0.662 0.102 0.662
0.662 0.662 0.102
0.857 0.409 0.857
0.857 0.857 0.409
0.898 0.338 0.338
```

Computed properties:
- Calculated density: 12.88 g/cm3
- Space group: R-3m, No. 166
- Calculated total energy: -6.182 eV/atom
- Calculated volume: 20.49 Å³ per atom
- Fermi-level density of states: 6.8 states/eV/f.u.



Record 2
Computed, not measured: a relaxed structure of BeSe3 at the PBE level of DFT.

Structure (POSCAR):
```
BeSe3
1.0
7.332 0.000 0.000
0.000 12.380 0.000
0.000 0.000 3.876
Be Se
4 12
Direct
0.000 0.077 0.250
0.000 0.923 0.750
0.500 0.423 0.750
0.500 0.577 0.250
0.000 0.433 0.250
0.000 0.567 0.750
0.246 0.330 0.750
0.246 0.670 0.250
0.254 0.170 0.250
0.254 0.830 0.750
0.500 0.067 0.750
0.500 0.933 0.250
0.746 0.170 0.250
0.746 0.830 0.750
0.754 0.330 0.750
0.754 0.670 0.250
```

Computed properties:
- Calculated density: 4.64 g/cm3
- Raw formation energy: 331.5 meV/atom
- Space group: Cmcm, No. 63
- Relative energy among the computed polymorphs: 0.391 eV per atom
- Calculated total energy: -3.213 eV/atom
- Calculated volume: 21.99 Å³ per atom
- Fermi-level density of states: 1.8 states/eV/f.u.



Record 3
Computed, not measured: a relaxed structure of Rb3B2H8 at the PBE level of DFT.

Structure (POSCAR):
```
Rb3B2H8
1.0
2.452 1.416 12.402
-2.452 1.416 12.402
0.000 -2.831 12.402
Rb B H
3 2 8
Direct
0.000 0.000 0.000
0.224 0.224 0.224
0.776 0.776 0.776
0.387 0.387 0.387
0.613 0.613 0.613
0.262 0.262 0.672
0.262 0.672 0.262
0.328 0.738 0.738
0.354 0.354 0.354
0.646 0.646 0.646
0.672 0.262 0.262
0.738 0.328 0.738
0.738 0.738 0.328
```

Computed properties:
- Calculated density: 1.84 g/cm3
- Space group: R-3m, No. 166
- Calculated total energy: -3.686 eV/atom
- Calculated volume: 19.87 Å³ per atom
- Fermi-level density of states: 1.3 states/eV/f.u.



Record 4
Computed, not measured: a relaxed structure of TcNi6Rh at the PBE level of DFT.

Structure (POSCAR):
```
TcNi6Rh
1.0
3.603 0.000 0.000
0.000 7.180 0.000
0.000 0.000 7.275
Tc Ni Rh
2 12 2
Direct
0.000 0.000 0.000
0.000 0.500 0.500
0.000 0.000 0.491
0.000 0.244 0.245
0.000 0.256 0.745
0.000 0.500 0.991
0.000 0.744 0.745
0.000 0.756 0.245
0.500 0.000 0.248
0.500 0.249 0.499
0.500 0.251 0.999
0.500 0.500 0.748
0.500 0.749 0.999
0.500 0.751 0.499
0.500 0.000 0.748
0.500 0.500 0.248
```

Computed properties:
- Calculated density: 9.76 g/cm3
- Space group: Amm2, No. 38
- Calculated total energy: -6.533 eV/atom
- Calculated volume: 11.76 Å³ per atom
- Fermi-level density of states: 13.6 states/eV/f.u.



Record 5
Computed, not measured: a relaxed structure of CeEr2Si at the PBE level of DFT.

Structure (POSCAR):
```
CeEr2Si
1.0
3.545 0.000 0.000
-1.773 3.070 0.000
0.000 0.000 29.838
Ce Er Si
3 6 3
Direct
0.000 0.000 0.000
0.333 0.667 0.667
0.667 0.333 0.333
0.000 0.000 0.234
0.000 0.000 0.766
0.333 0.667 0.433
0.333 0.667 0.901
0.667 0.333 0.099
0.667 0.333 0.567
0.000 0.000 0.500
0.333 0.667 0.167
0.667 0.333 0.833
```

Computed properties:
- Calculated density: 7.71 g/cm3
- Raw formation energy: -104.0 meV/atom
- Space group: R-3m, No. 166
- Relative energy among the computed polymorphs: 0.153 eV per atom
- Calculated total energy: -5.225 eV/atom
- Calculated volume: 27.07 Å³ per atom
- Fermi-level density of states: 7.4 states/eV/f.u.



Record 6
Computed, not measured: a relaxed structure of La2Sm9Ho at the PBE level of DFT.

Structure (POSCAR):
```
La2Sm9Ho
1.0
5.145 0.000 0.000
0.000 5.145 0.000
0.000 0.000 15.459
La Sm Ho
2 9 1
Direct
0.000 0.000 0.167
0.000 0.000 0.833
0.000 0.500 0.000
0.000 0.500 0.337
0.000 0.500 0.663
0.500 0.000 0.000
0.500 0.000 0.337
0.500 0.000 0.663
0.500 0.500 0.169
0.500 0.500 0.500
0.500 0.500 0.831
0.000 0.000 0.500
```

Computed properties:
- Calculated density: 7.29 g/cm3
- Space group: P4/mmm, No. 123
- Calculated total energy: -4.721 eV/atom
- Calculated volume: 34.11 Å³ per atom
- Fermi-level density of states: 20.5 states/eV/f.u.



Record 7
Computed, not measured: a relaxed structure of Sm2CuSbS5 at the PBE level of DFT.

Structure (POSCAR):
```
Sm2CuSbS5
1.0
1.976 -8.703 0.000
1.976 8.703 0.000
0.000 0.000 11.789
Sm Cu Sb S
4 2 2 10
Direct
0.118 0.882 0.500
0.125 0.875 0.127
0.875 0.125 0.627
0.882 0.118 0.000
0.251 0.749 0.933
0.749 0.251 0.433
0.408 0.592 0.299
0.592 0.408 0.799
0.032 0.968 0.912
0.302 0.698 0.128
0.309 0.691 0.476
0.355 0.645 0.817
0.496 0.504 0.115
0.504 0.496 0.615
0.645 0.355 0.317
0.691 0.309 0.976
0.698 0.302 0.628
0.968 0.032 0.412
```

Computed properties:
- Calculated density: 5.30 g/cm3
- Raw formation energy: -1151.5 meV/atom
- Space group: Cmc2_1, No. 36
- Calculated total energy: -5.406 eV/atom
- Calculated volume: 22.52 Å³ per atom
- Fermi-level density of states: 0.0 states/eV/f.u.



Record 8
Computed, not measured: a relaxed structure of RbCd2NiSb at the PBE level of DFT.

Structure (POSCAR):
```
RbCd2NiSb
1.0
5.203 0.000 0.000
0.000 5.203 0.000
0.000 0.000 5.032
Rb Cd Ni Sb
1 2 1 1
Direct
0.000 0.000 0.000
0.000 0.500 0.500
0.500 0.000 0.500
0.500 0.500 0.500
0.500 0.500 0.000
```

Computed properties:
- Calculated density: 5.98 g/cm3
- Raw formation energy: -53.3 meV/atom
- Space group: P4/mmm, No. 123
- Calculated total energy: -2.594 eV/atom
- Calculated volume: 27.24 Å³ per atom
- Fermi-level density of states: 2.9 states/eV/f.u.